The following is a GGA-PBE calculation of a geometry-optimized TaCu2Re structure, from Alexandria.

Cell and atoms, written as CIF:
```
data_TaCu2Re
_cell_length_a 3.753
_cell_length_b 3.753
_cell_length_c 4.058
_cell_angle_alpha 90.00
_cell_angle_beta 90.00
_cell_angle_gamma 90.00
_symmetry_space_group_name_H-M 'P 4/m m m'
_symmetry_Int_Tables_number 123
_symmetry_space_group_name_Hall '-P 4 2'
loop_
_atom_site_label
_atom_site_type_symbol
_atom_site_fract_x
_atom_site_fract_y
_atom_site_fract_z
Ta1 Ta 0.000 0.000 0.000
Cu1 Cu 0.000 0.500 0.500
Re1 Re 0.500 0.500 0.000
```

Results
E above lowest polymorph   0.021 eV per atom
Energy of formation   0.123 eV per atom
Theoretical density   14.36 g cm⁻³